Here is Al2TeOs after structural relaxation from the Alexandria database. Energies are from GGA-PBE.

Summary:
DOS at the Fermi energy: 9.73 states/eV/cell
calculated volume: 17.3 A^3/atom
formation energy (no corrections): 394 meV per atom
uncorrected energy: -20.28 eV/f.u.

a = 6.5207 Å, b = 6.5207 Å, c = 6.5207 Å
α = 90.00°, β = 90.00°, γ = 90.00°
Closest atoms and distances in Å follow each position.
Space group F-43m (No. 216)
Unique sites:
Al: 0.0000 0.0000 0.0000  4 Al 2.82, 4 Os 2.82
Al: 0.2500 0.2500 0.2500  4 Te 2.82, 4 Al 2.82
Te: 0.0000 0.0000 0.5000  4 Os 2.82, 4 Al 2.82
Os: 0.2500 0.2500 0.7500  4 Al 2.82, 4 Te 2.82

---

Here is Al2TeOs after structural relaxation from the Alexandria database. Energies are from GGA-PBE.

Summary:
DOS at the Fermi energy: 1.64 states/eV/cell
calculated volume: 17.5 A^3/atom
formation energy (no corrections): 445 meV per atom
uncorrected energy: -20.08 eV/f.u.

a = 3.2984 Å, b = 4.4633 Å, c = 4.7676 Å
α = 90.00°, β = 90.00°, γ = 90.00°
Closest atoms and distances in Å follow each position.
Space group Pmmm (No. 47)
Unique sites:
Al: 0.0000 0.0000 0.0000  4 Os 2.77, 4 Al 2.90
Al: 0.5000 0.0000 0.5000  4 Te 2.77, 4 Al 2.90
Te: 0.0000 0.5000 0.5000  4 Al 2.77, 4 Os 2.90
Os: 0.5000 0.5000 0.0000  4 Al 2.77, 4 Te 2.90

---

Here is AlTe4Os after structural relaxation from the Alexandria database. Energies are from GGA-PBE.

Summary:
DOS at the Fermi energy: 29.40 states/eV/cell
calculated volume: 28.7 A^3/atom
formation energy (no corrections): 1366 meV per atom
uncorrected energy: -19.34 eV/f.u.

a = 8.8335 Å, b = 8.8335 Å, c = 8.8335 Å
α = 90.00°, β = 90.00°, γ = 90.00°
Closest atoms and distances in Å follow each position.
Space group F-43m (No. 216)
Unique sites:
Al: 0.0000 0.0000 0.0000  12 Te 3.67, 4 Os 3.83
Te: 0.1239 0.1239 0.3761  6 Te 3.10-3.15
Os: 0.2500 0.2500 0.7500  12 Te 3.66, 4 Al 3.83

---

Here is Al2TeOs after structural relaxation from the Alexandria database. Energies are from GGA-PBE.

Summary:
DOS at the Fermi energy: 8.44 states/eV/cell
calculated volume: 18.5 A^3/atom
formation energy (no corrections): 108 meV per atom
uncorrected energy: -21.42 eV/f.u.

a = 3.1958 Å, b = 3.1958 Å, c = 25.1612 Å
α = 90.00°, β = 90.00°, γ = 120.00°
Closest atoms and distances in Å follow each position.
Space group R-3m (No. 166, hexagonal axes)
Unique sites:
Al: 0.0000 0.0000 0.2357  3 Os 2.53
Te: 0.0000 0.0000 0.0000  6 Al 3.07, 6 Te 3.20
Os: 0.0000 0.0000 0.5000  6 Al 2.53

---

Here is Al2TeOs after structural relaxation from the Alexandria database. Energies are from GGA-PBE.

Summary:
DOS at the Fermi energy: 3.48 states/eV/cell
calculated volume: 20.8 A^3/atom
formation energy (no corrections): -5 meV per atom
uncorrected energy: -21.88 eV/f.u.

a = 9.0191 Å, b = 3.1025 Å, c = 6.2733 Å
α = 90.00°, β = 108.74°, γ = 90.00°
Closest atoms and distances in Å follow each position.
Space group Cm (No. 8)
Unique sites:
Al: 0.0000 0.0000 0.0000  2 Os 2.50, 1 Te 2.78
Al: 0.2143 0.0000 0.7042  3 Os 2.52-2.53
Te: 0.3471 0.5000 0.3202  2 Os 2.71, 1 Al 2.78
Os: 0.4897 0.0000 0.6831  5 Al 2.50-2.53, 2 Te 2.71

---

Here is Al2TeOs after structural relaxation from the Alexandria database. Energies are from GGA-PBE.

Summary:
DOS at the Fermi energy: 2.90 states/eV/cell
calculated volume: 18.4 A^3/atom
formation energy (no corrections): 145 meV per atom
uncorrected energy: -21.27 eV/f.u.

a = 8.5281 Å, b = 3.2928 Å, c = 5.3635 Å
α = 90.00°, β = 102.13°, γ = 90.00°
Closest atoms and distances in Å follow each position.
Space group C2/m (No. 12)
Unique sites:
Al: 0.2304 0.0000 0.1778  3 Os 2.59-2.67, 2 Al 2.59, 1 Te 2.88
Te: 0.0000 0.0000 0.5000  6 Al 2.88-3.05, 4 Os 3.15
Os: 0.0000 0.5000 0.0000  6 Al 2.59-2.67

---

Here is AlTeOs3 after structural relaxation from the Alexandria database. Energies are from GGA-PBE.

Summary:
DOS at the Fermi energy: 7.19 states/eV/cell
calculated volume: 18.3 A^3/atom
formation energy (no corrections): 1628 meV per atom
uncorrected energy: -32.43 eV/f.u.

a = 4.5093 Å, b = 4.5093 Å, c = 4.5093 Å
α = 90.00°, β = 90.00°, γ = 90.00°
Closest atoms and distances in Å follow each position.
Space group Pm-3m (No. 221)
Unique sites:
Al: 0.0000 0.0000 0.0000  6 Os 2.25
Te: 0.5000 0.5000 0.5000  12 Os 3.19
Os: 0.0000 0.0000 0.5000  2 Al 2.25

---

Here is Al2TeOs after structural relaxation from the Alexandria database. Energies are from GGA-PBE.

Summary:
DOS at the Fermi energy: 5.76 states/eV/cell
calculated volume: 19.0 A^3/atom
formation energy (no corrections): 441 meV per atom
uncorrected energy: -20.09 eV/f.u.

a = 3.0384 Å, b = 5.1669 Å, c = 9.6922 Å
α = 90.00°, β = 90.00°, γ = 90.00°
Closest atoms and distances in Å follow each position.
Space group Cmm2 (No. 35)
Unique sites:
Al: 0.0000 0.0000 0.0000  8 Al 2.78-3.04
Al: 0.0000 0.5000 0.2401  2 Os 2.52, 2 Al 2.78
Te: 0.0000 0.5000 0.6820  2 Os 2.74, 6 Te 3.00-3.04
Os: 0.0000 0.0000 0.4472  2 Al 2.52, 2 Te 2.74

---

Here is Al2TeOs after structural relaxation from the Alexandria database. Energies are from GGA-PBE.

Summary:
DOS at the Fermi energy: 5.36 states/eV/cell
calculated volume: 17.0 A^3/atom
formation energy (no corrections): 306 meV per atom
uncorrected energy: -20.63 eV/f.u.

a = 5.5629 Å, b = 7.7717 Å, c = 3.1546 Å
α = 90.00°, β = 90.00°, γ = 90.00°
Closest atoms and distances in Å follow each position.
Space group Cmmm (No. 65)
Unique sites:
Al: 0.2500 0.2500 0.0000  2 Al 2.78, 4 Os 2.86, 4 Te 2.86
Te: 0.0000 0.0000 0.5000  2 Os 2.78, 8 Al 2.86
Os: 0.0000 0.5000 0.5000  2 Te 2.78, 8 Al 2.86

---

Here is AlTe3Os after structural relaxation from the Alexandria database. Energies are from GGA-PBE.

Summary:
DOS at the Fermi energy: 3.64 states/eV/cell
calculated volume: 26.3 A^3/atom
formation energy (no corrections): 1376 meV per atom
uncorrected energy: -17.52 eV/f.u.

a = 5.0857 Å, b = 5.0857 Å, c = 5.0857 Å
α = 90.00°, β = 90.00°, γ = 90.00°
Closest atoms and distances in Å follow each position.
Space group Pm-3m (No. 221)
Unique sites:
Al: 0.0000 0.0000 0.0000  6 Te 2.54
Te: 0.0000 0.0000 0.5000  2 Al 2.54
Os: 0.5000 0.5000 0.5000  12 Te 3.60

---

Here is Al2TeOs after structural relaxation from the Alexandria database. Energies are from GGA-PBE.

Summary:
DOS at the Fermi energy: 1.11 states/eV/cell
calculated volume: 19.0 A^3/atom
formation energy (no corrections): -39 meV per atom
uncorrected energy: -22.01 eV/f.u.

a = 3.0254 Å, b = 3.0789 Å, c = 8.1698 Å
α = 90.00°, β = 90.00°, γ = 90.00°
Closest atoms and distances in Å follow each position.
Space group Pmmm (No. 47)
Unique sites:
Al: 0.0000 0.0000 0.1739  4 Os 2.58, 1 Al 2.84
Te: 0.5000 0.5000 0.5000  4 Te 3.03-3.08
Os: 0.5000 0.5000 0.0000  8 Al 2.58

---

Here is AlTe3Os after structural relaxation from the Alexandria database. Energies are from GGA-PBE.

Summary:
DOS at the Fermi energy: 5.98 states/eV/cell
calculated volume: 29.6 A^3/atom
formation energy (no corrections): 751 meV per atom
uncorrected energy: -20.64 eV/f.u.

a = 5.2886 Å, b = 5.2886 Å, c = 5.2886 Å
α = 90.00°, β = 90.00°, γ = 90.00°
Closest atoms and distances in Å follow each position.
Space group Pm-3m (No. 221)
Unique sites:
Al: 0.0000 0.0000 0.0000  12 Te 3.74
Te: 0.0000 0.5000 0.5000  2 Os 2.64
Os: 0.5000 0.5000 0.5000  6 Te 2.64